DFT (PBE) results for a relaxed SiH3I6 crystal.

```
SiH3I6
1.0
-1.6974 -5.1521 4.6705
10.4359 -1.7270 1.8875
-3.0255 7.4540 7.1230
Si H I
2 6 12
Cartesian
-0.4690 5.1105 6.5100
6.7079 -2.9392 5.7239
5.0498 1.9985 7.9153
3.4485 -0.0643 10.5433
2.7278 0.4881 6.8189
2.1973 -2.3050 9.0304
0.3127 -2.4877 6.7304
1.9140 -0.4249 4.1024
5.1127 2.4370 6.2980
3.0253 0.7058 9.1150
1.4810 4.8443 7.9677
6.7221 -1.8851 7.9345
-2.4699 5.5147 7.8987
-1.8621 1.8983 9.6973
7.5590 -1.3722 4.0280
8.1921 -4.9119 5.7571
-0.8058 3.0771 5.1872
4.4354 -3.6524 5.1540
2.9943 0.7999 3.7223
0.9070 -0.9314 6.5393
```

Symmetry ... Cmc2_1, No. 36
Volume ... 39.80 A^3/atom
Mass density ... 3.3 g/cm³
Energy relative to the lowest polymorph listed for this composition ... 0.0992 eV/atom